A plane-wave DFT calculation with GGA-PBE was carried out for a relaxed CaAl2Au crystal.

Geometry as POSCAR:
```
CaAl2Au
1.0
0.000 3.379 3.379
3.379 0.000 3.379
3.379 3.379 0.000
Ca Au Al
1 1 2
Direct
0.000 0.000 0.000
0.500 0.500 0.500
0.250 0.250 0.250
0.750 0.750 0.750
```

Values from the calculation:
ΔH_f (0 K) = -0.23 eV per atom
final energy = -3.42 eV/atom